Here is a relaxed AlAg crystal from Alexandria via LeMat-Bulk. Energies are from PBE.

Cell: 5.028 8.424 5.028 Å, 90.00 107.08 90.00°
Positions (direct):
Al: 0.000 0.503 0.500
Al: 0.500 0.664 0.500
Al: 0.000 0.664 0.000
Al: 0.500 0.841 0.000
Al: 0.000 0.827 0.500
Al: 0.000 0.167 0.500
Ag: 0.500 0.987 0.500
Ag: 0.000 0.987 0.000
Ag: 0.500 0.522 0.000
Ag: 0.500 0.337 0.500
Ag: 0.000 0.337 0.000
Ag: 0.500 0.165 0.000

DFT formation energy in meV/atom: -15
SG: Cmm2